# 1
Crystalline K3Rh at its relaxed geometry. Source: Alexandria, functional PBE.

- Space group: R-3m (166)
- Energy of formation: 0.703 eV/atom
- Calculated total energy: -1.9578 eV per atom

a b c (Å): 6.403 6.403 6.403
angles (deg): 115.16 115.16 115.16
Fractional coordinates of all 4 atoms:
K 0.000 0.000 0.000
K 0.000 0.500 0.500
K 0.500 0.000 0.500
Rh 0.500 0.500 0.000



# 2
Crystalline Sc2PdPb2 at its relaxed geometry. Source: Alexandria, functional PBE.

- Space group: P4/mbm (127)
- Polymorph energy (0 for the lowest one): 0 meV/atom
- Energy of formation: -0.358 eV/atom
- Calculated total energy: -5.4126 eV per atom

a b c (Å): 7.243 7.243 4.437
angles (deg): 90.00 90.00 90.00
Fractional coordinates of all 10 atoms:
Pb 0.351 0.851 0.000
Pb 0.851 0.649 0.000
Pb 0.649 0.149 0.000
Pb 0.149 0.351 0.000
Sc 0.162 0.662 0.500
Sc 0.662 0.838 0.500
Sc 0.838 0.338 0.500
Sc 0.338 0.162 0.500
Pd 0.000 0.000 0.000
Pd 0.500 0.500 0.000



# 3
Crystalline ScAs4Os at its relaxed geometry. Source: Alexandria, functional PBE.

- Space group: F-43m (216)
- Energy of formation: 0.553 eV/atom
- Calculated total energy: -5.4733 eV per atom

a b c (Å): 5.391 5.391 5.391
angles (deg): 60.00 60.00 60.00
Fractional coordinates of all 6 atoms:
Sc 0.000 0.000 0.000
As 0.874 0.375 0.375
As 0.375 0.375 0.874
As 0.375 0.874 0.375
As 0.375 0.375 0.375
Os 0.750 0.750 0.750



# 4
Crystalline BePd3Rh at its relaxed geometry. Source: Alexandria, functional PBE.

- Space group: Pm-3m (221)
- Polymorph energy (0 for the lowest one): 1251 meV/atom
- Energy of formation: 1.438 eV/atom
- Calculated total energy: -3.8931 eV per atom

a b c (Å): 4.793 4.793 4.793
angles (deg): 90.00 90.00 90.00
Fractional coordinates of all 5 atoms:
Be 0.500 0.500 0.500
Rh 0.000 0.000 0.000
Pd 0.000 0.500 0.000
Pd 0.000 0.000 0.500
Pd 0.500 0.000 0.000



# 5
Crystalline Ba4Ga2S7 at its relaxed geometry. Source: Alexandria, functional PBE.

- Space group: P2_1/m (11)
- ΔE_f (raw): -155 kJ/mol of atoms
- Calculated total energy: -4.8840 eV per atom

a b c (Å): 7.209 9.151 12.002
angles (deg): 70.87 90.00 90.00
Fractional coordinates of all 26 atoms:
Ba 0.750 0.996 0.389
Ba 0.250 0.004 0.611
Ba 0.750 0.924 0.932
Ba 0.250 0.076 0.068
Ba 0.750 0.469 0.183
Ba 0.250 0.531 0.817
Ba 0.750 0.369 0.610
Ba 0.250 0.631 0.390
Ga 0.750 0.732 0.688
Ga 0.250 0.268 0.312
Ga 0.750 0.313 0.922
Ga 0.250 0.687 0.078
S 0.750 0.990 0.657
S 0.250 0.010 0.343
S 0.750 0.164 0.115
S 0.250 0.836 0.885
S 0.750 0.583 0.889
S 0.250 0.417 0.111
S 0.500 0.315 0.411
S 0.000 0.685 0.589
S 0.500 0.685 0.589
S 0.000 0.315 0.411
S 0.502 0.759 0.164
S 0.002 0.241 0.836
S 0.998 0.759 0.164
S 0.498 0.241 0.836



# 6
Crystalline Li2Ca2Pt at its relaxed geometry. Source: Alexandria, functional PBE.

- Space group: Immm (71)
- Polymorph energy (0 for the lowest one): 0 meV/atom
- Energy of formation: -0.367 eV/atom
- Calculated total energy: -3.1410 eV per atom

a b c (Å): 4.956 4.761 5.984
angles (deg): 66.56 65.54 90.00
Fractional coordinates of all 5 atoms:
Li 0.236 0.500 0.000
Li 0.764 0.500 0.000
Ca 0.684 0.184 0.632
Ca 0.316 0.816 0.368
Pt 0.000 0.000 0.000



# 7
Crystalline Na3MgNp3O8 at its relaxed geometry. Source: Alexandria, functional PBE.

- Space group: R-3m (166)
- ΔE_f (raw): -233 kJ/mol of atoms
- Calculated total energy: -8.0178 eV per atom

a b c (Å): 6.782 6.782 6.851
angles (deg): 119.68 89.99 120.00
Fractional coordinates of all 15 atoms:
Na 0.000 0.000 0.000
Na 0.000 0.500 0.000
Na 0.500 0.500 0.000
Mg 0.000 0.000 0.500
Np 0.500 0.000 0.500
Np 0.500 0.500 0.500
Np 0.000 0.500 0.500
O 0.259 0.517 0.276
O 0.741 0.483 0.724
O 0.773 0.546 0.305
O 0.227 0.454 0.695
O 0.773 0.032 0.305
O 0.227 0.968 0.695
O 0.259 0.032 0.305
O 0.741 0.968 0.695



# 8
Crystalline Er5Sb3 at its relaxed geometry. Source: Alexandria, functional PBE.

- Space group: Pnma (62)
- Polymorph energy (0 for the lowest one): 7 meV/atom
- ΔE_f (raw): -85 kJ/mol of atoms
- Calculated total energy: -5.2776 eV per atom

a b c (Å): 8.072 9.236 11.743
angles (deg): 90.00 90.00 90.00
Fractional coordinates of all 32 atoms:
Er 0.191 0.941 0.066
Er 0.691 0.059 0.434
Er 0.809 0.441 0.934
Er 0.309 0.559 0.566
Er 0.809 0.059 0.934
Er 0.309 0.941 0.566
Er 0.191 0.559 0.066
Er 0.691 0.441 0.434
Er 0.525 0.750 0.005
Er 0.025 0.250 0.495
Er 0.475 0.250 0.995
Er 0.975 0.750 0.505
Er 0.826 0.750 0.228
Er 0.326 0.250 0.272
Er 0.174 0.250 0.772
Er 0.674 0.750 0.728
Er 0.343 0.750 0.290
Er 0.843 0.250 0.210
Er 0.657 0.250 0.710
Er 0.157 0.750 0.790
Sb 0.063 0.991 0.325
Sb 0.563 0.009 0.175
Sb 0.937 0.491 0.675
Sb 0.437 0.509 0.825
Sb 0.937 0.009 0.675
Sb 0.437 0.991 0.825
Sb 0.063 0.509 0.325
Sb 0.563 0.491 0.175
Sb 0.597 0.750 0.475
Sb 0.097 0.250 0.025
Sb 0.403 0.250 0.525
Sb 0.903 0.750 0.975



Number 1: theoretical density 2526 kg/m3. Number 2: theoretical density 8713 kg/m3. Number 3: theoretical density 8019 kg/m3. Number 4: theoretical density 6501 kg/m3. Number 5: theoretical density 4055 kg/m3. Number 6: theoretical density 4153 kg/m3. Number 7: theoretical density 6914 kg/m3. Number 8: theoretical density 9116 kg/m3.